(1)
Entry from Alexandria via LeMat-Bulk: a crystal of ZnSi3Os relaxed with PBEsol (SCAN).

Cell and atoms, written as extended XYZ:
```
5
Lattice="-3.8153 2.4085 -0.9973 -2.2005 -3.9234 -1.0565 -1.3975 -0.3974 4.3865" Properties=species:S:1:pos:R:3 pbc="T T T"
Zn -3.7067 -0.9562 1.1663
Os 0.0000 0.0000 0.0000
Si -1.1003 -1.9617 -0.5283
Si -0.6987 -0.1987 2.1932
Si -1.9077 1.2042 -0.4986
```

Output
Symmetry ... No. 221
DOS at the Fermi energy ... 4.9 states/eV/f.u.
V ... 98.7 Å³/cell
Formation energy from raw total energies ... 0.63 eV/atom
Spin magnetization ... 0.00 μB per atom



(2)
Entry from Alexandria via LeMat-Bulk: a crystal of Zn4SiOs relaxed with PBEsol (SCAN).

Cell and atoms, written as extended XYZ:
```
6
Lattice="4.8362 0.0000 0.0000 2.4181 4.1883 0.0000 2.4181 1.3961 3.9488" Properties=species:S:1:pos:R:3 pbc="T T T"
Os 2.4181 1.3961 0.9872
Si 0.0000 0.0000 0.0000
Zn 4.8362 2.7922 0.4984
Zn 3.6311 3.4880 2.4664
Zn 4.8362 1.4006 2.4664
Zn 6.0414 3.4880 2.4664
```

Output
Symmetry ... No. 216
DOS at the Fermi energy ... 2.2 states/eV/f.u.
V ... 80.0 Å³/cell
Formation energy from raw total energies ... 0.26 eV/atom
Spin magnetization ... 0.00 μB per atom



(3)
Entry from Alexandria via LeMat-Bulk: a crystal of ZnSi2Os relaxed with PBEsol (SCAN).

Cell and atoms, written as extended XYZ:
```
4
Lattice="2.9545 0.0000 0.0000 0.0000 4.2452 0.0000 0.0000 0.0000 4.2452" Properties=species:S:1:pos:R:3 pbc="T T T"
Os 1.4772 0.0000 0.0000
Si 0.0000 0.0000 2.1226
Si 0.0000 2.1226 0.0000
Zn 1.4772 2.1226 2.1226
```

Output
Symmetry ... No. 123
DOS at the Fermi energy ... 1.2 states/eV/f.u.
V ... 53.2 Å³/cell
Formation energy from raw total energies ... 0.23 eV/atom
Spin magnetization ... 0.00 μB per atom



(4)
Entry from Alexandria via LeMat-Bulk: a crystal of ZrSiOs2 relaxed with PBEsol (SCAN).

Cell and atoms, written as extended XYZ:
```
4
Lattice="-1.6148 0.9865 2.7461 1.9648 -2.8629 2.1839 3.0360 3.7984 -1.6044" Properties=species:S:1:pos:R:3 pbc="T T T"
Os 0.0251 0.0224 0.0067
Os 0.8756 1.9925 1.8242
Si 3.1225 2.7815 0.8369
Zr 2.5737 -0.0140 1.5185
```

Output
Symmetry ... No. 44
DOS at the Fermi energy ... 1.4 states/eV/f.u.
V ... 60.0 Å³/cell
Formation energy from raw total energies ... -0.28 eV/atom
Spin magnetization ... 0.00 μB per atom